Density functional theory data (PBE-GGA) for a relaxed structure of Bi3WS.

ΔE_f (raw): 1.302 eV per atom
SG: Pm-3m (221)
excess energy over the best structure of this formula in the dataset: 575 meV per atom
calculated volume: 147.09 Å³ per cell
E: -4.443 eV per atom

Cell and atoms, written as POSCAR:
```
Bi3WS
1.0
-1.7369 -2.6457 -4.2247
-3.5703 -2.4617 3.0095
-3.4785 3.8477 -0.9795
S Bi W
1 3 1
Direct
0.0000 0.0000 0.0000
0.0000 0.5000 0.0000
0.0000 0.0000 0.5000
0.5000 0.0000 0.0000
0.5000 0.5000 0.5000
```



Density functional theory data (PBE-GGA) for a relaxed structure of BaCoTc2.

SG: R3m (160)
excess energy over the best structure of this formula in the dataset: 0 meV per atom
calculated formation energy: 177 kJ/mol of formula units
calculated volume: 92.79 Å³ per cell
E: -6.982 eV per atom

Cell and atoms, written as POSCAR:
```
BaCoTc2
1.0
-1.4637 3.2887 2.2770
-0.6581 -0.4312 4.1861
4.8389 2.6926 3.2045
Ba Co Tc
1 1 2
Direct
0.4996 0.4996 0.5018
0.3160 0.3160 0.0519
0.9924 0.9924 0.0227
0.6921 0.6921 0.9236
```



Density functional theory data (PBE-GGA) for a relaxed structure of TePtSe.

ΔE_f (raw): 0.028 eV per atom
SG: Pmm2 (25)
excess energy over the best structure of this formula in the dataset: 413 meV per atom
calculated volume: 147.17 Å³ per cell
E: -4.195 eV per atom

Cell and atoms, written as POSCAR:
```
TePtSe
1.0
-2.5110 -0.4420 5.5919
5.2849 -1.8950 -0.7681
4.5866 2.7293 3.0468
Pt Te Se
2 2 2
Direct
0.3212 0.0000 0.6788
0.8211 0.0000 0.1789
0.3414 0.5000 0.6586
0.8414 0.5000 0.1586
0.1851 0.0000 0.3149
0.6851 0.0000 0.8149
```



Density functional theory data (PBE-GGA) for a relaxed structure of Ac2CrN4.

ΔE_f (raw): -1.061 eV per atom
SG: P2_1/m (11)
excess energy over the best structure of this formula in the dataset: 63 meV per atom
calculated volume: 241.20 Å³ per cell
E: -8.367 eV per atom

Cell and atoms, written as POSCAR:
```
Ac2CrN4
1.0
-4.7168 -1.0437 -3.3042
-0.7299 -4.9303 2.5992
-2.4897 3.6558 6.2352
Ac Cr N
4 2 8
Direct
0.7187 0.7500 0.0251
0.2813 0.2500 0.9749
0.2310 0.2500 0.4537
0.7690 0.7500 0.5463
0.2776 0.7500 0.2165
0.7224 0.2500 0.7835
0.4641 0.5058 0.2748
0.1437 0.7500 0.9820
0.8563 0.2500 0.0180
0.4641 0.9942 0.2748
0.9391 0.2500 0.6642
0.5359 0.0058 0.7252
0.5359 0.4942 0.7252
0.0609 0.7500 0.3358
```